1.
The following is a DFT calculation (GGA-PBE) of an optimized crystal structure of NaSbH2Cl8.

Summary:
Total DFT energy (no corrections) = -3.07 eV/atom
DOS at the Fermi energy = 0.0 states/eV per cell
M_tot = 0.000 Bohr magnetons per cell

Lattice parameters (Å, degrees): 6.8514 6.8461 7.9897 96.89 91.46 92.86
Closest atoms and distances in Å follow each position.
Element x y z (fractional)
Cl: 0.1682 0.8216 0.1985  1 Sb 2.42
Cl: 0.3319 0.2761 0.5738  1 H 1.31
Cl: 0.6681 0.7239 0.4262  1 H 1.31
Sb: 0.0000 0.0000 0.0000  6 Cl 2.41-2.42
Cl: 0.1379 0.7956 0.7695  1 Sb 2.42
Cl: 0.8318 0.1784 0.8015  1 Sb 2.42
H: 0.3200 0.2655 0.7359  1 Cl 1.31
H: 0.6800 0.7345 0.2641  1 Cl 1.31
Cl: 0.7213 0.7683 0.9915  1 H 2.24, 1 Sb 2.41
Cl: 0.8621 0.2044 0.2305  1 Sb 2.42
Na: 0.0000 0.0000 0.5000  6 Cl 2.86-2.89, 2 H 3.20
Cl: 0.2787 0.2317 0.0085  1 H 2.24, 1 Sb 2.41

---

2.
The following is a DFT calculation (GGA-PBE) of an optimized crystal structure of NaSn2HCl6.

Summary:
Total DFT energy (no corrections) = -3.41 eV/atom
DOS at the Fermi energy = 0.0 states/eV per cell
M_tot = 0.000 Bohr magnetons per cell

Lattice parameters (Å, degrees): 7.7003 5.4688 13.1077 90.00 83.88 90.00
Closest atoms and distances in Å follow each position.
Element x y z (fractional)
Cl: 0.2088 0.7842 0.3554  1 Sn 2.65, 1 Na 2.82
Sn: 0.5138 0.4977 0.6919  2 Cl 2.57-2.65
Na: 0.0000 0.5000 0.5000  4 Cl 2.79-2.82
Na: 0.5000 0.0000 0.0000  4 Cl 2.79-2.82
Cl: 0.6271 0.7841 0.4658  1 H 1.57
Cl: 0.3748 0.1872 0.8235  1 Sn 2.57, 1 Na 2.79
Cl: 0.7912 0.2158 0.6446  1 Sn 2.65, 1 Na 2.82
Cl: 0.8748 0.3128 0.3235  1 Sn 2.57, 1 Na 2.79
Cl: 0.7088 0.7158 0.8554  1 Sn 2.65, 1 Na 2.82
Cl: 0.2912 0.2842 0.1446  1 Sn 2.65, 1 Na 2.82
Cl: 0.1271 0.7159 0.9658  1 H 1.57
Sn: 0.0138 0.0023 0.1919  2 Cl 2.57-2.65
Sn: 0.9862 0.9977 0.8081  2 Cl 2.57-2.65
H: 0.0000 0.5000 0.0000  2 Cl 1.57
H: 0.5000 0.0000 0.5000  2 Cl 1.57
Cl: 0.6252 0.8128 0.1765  1 Sn 2.57, 1 Na 2.79
Sn: 0.4862 0.5023 0.3081  2 Cl 2.57-2.65
Cl: 0.8729 0.2841 0.0342  1 H 1.57
Cl: 0.1252 0.6872 0.6765  1 Sn 2.57, 1 Na 2.79
Cl: 0.3729 0.2159 0.5342  1 H 1.57

---

3.
The following is a DFT calculation (GGA-PBE) of an optimized crystal structure of NaSnH2Cl8.

Summary:
Total DFT energy (no corrections) = -3.03 eV/atom
M_tot = 0.913 Bohr magnetons per cell

Lattice parameters (Å, degrees): 6.4902 6.7785 7.9877 88.11 91.63 76.19
Closest atoms and distances in Å follow each position.
Element x y z (fractional)
Na: 0.0000 0.0000 0.5000  6 Cl 2.84-3.00
Cl: 0.8337 0.2410 0.7759  1 Sn 2.43
Cl: 0.6686 0.8463 0.0128  1 H 2.52, 1 Sn 2.61, 1 Cl 2.63
Cl: 0.3101 0.2639 0.5181  1 H 1.30
Cl: 0.6899 0.7361 0.4819  1 H 1.30
H: 0.6568 0.7597 0.3208  1 Cl 1.30
Cl: 0.8558 0.2469 0.2058  1 Sn 2.43
Cl: 0.1663 0.7590 0.2241  1 Sn 2.43
H: 0.3432 0.2403 0.6792  1 Cl 1.30
Cl: 0.1442 0.7531 0.7942  1 Sn 2.43
Cl: 0.3314 0.1537 0.9872  1 H 2.52, 1 Sn 2.61, 1 Cl 2.63
Sn: 0.0000 0.0000 0.0000  6 Cl 2.43-2.61

---

4.
The following is a DFT calculation (GGA-PBE) of an optimized crystal structure of NaTcH2Cl8.

Summary:
Total DFT energy (no corrections) = -3.52 eV/atom
DOS at the Fermi energy = 7.9 states/eV per cell
M_tot = 2.000 Bohr magnetons per cell

Lattice parameters (Å, degrees): 6.6301 6.3925 7.9158 88.04 88.92 83.46
Closest atoms and distances in Å follow each position.
Element x y z (fractional)
Cl: 0.1724 0.7864 0.2094  1 Tc 2.34
Cl: 0.3135 0.2710 0.5318  1 H 1.31
H: 0.3098 0.2510 0.6973  1 Cl 1.31
Cl: 0.1482 0.7730 0.7948  1 Tc 2.34
Na: 0.0000 0.0000 0.5000  6 Cl 2.84-2.87
Cl: 0.2732 0.1982 0.9742  1 H 2.22, 1 Tc 2.33
Cl: 0.8518 0.2270 0.2052  1 Tc 2.34
H: 0.6902 0.7490 0.3027  1 Cl 1.31
Cl: 0.7268 0.8018 0.0258  1 H 2.22, 1 Tc 2.33
Cl: 0.6865 0.7290 0.4682  1 H 1.31
Tc: 0.0000 0.0000 0.0000  6 Cl 2.33-2.34
Cl: 0.8276 0.2136 0.7906  1 Tc 2.34

---

5.
The following is a DFT calculation (GGA-PBE) of an optimized crystal structure of NaTiHCl2.

Summary:
Total DFT energy (no corrections) = -3.83 eV/atom
DOS at the Fermi energy = 3.0 states/eV per cell
M_tot = 2.000 Bohr magnetons per cell

Lattice parameters (Å, degrees): 5.1476 3.4379 5.1476 90.00 90.00 90.00
Closest atoms and distances in Å follow each position.
Element x y z (fractional)
H: 0.0000 0.0000 0.0000  2 Ti 1.72
Ti: 0.0000 0.5000 0.0000  2 H 1.72
Na: 0.5000 0.5000 0.5000  8 Cl 3.10, 2 Na 3.44
Cl: 0.0000 0.0000 0.5000  2 H 2.57
Cl: 0.5000 0.0000 0.0000  2 H 2.57

---

6.
The following is a DFT calculation (GGA-PBE) of an optimized crystal structure of NaTl2HCl4.

Summary:
Total DFT energy (no corrections) = -3.07 eV/atom
DOS at the Fermi energy = 0.0 states/eV per cell
M_tot = 0.000 Bohr magnetons per cell

Lattice parameters (Å, degrees): 8.8353 8.8353 10.2668 125.39 125.39 74.50
Closest atoms and distances in Å follow each position.
Element x y z (fractional)
Tl: 0.5000 0.0000 0.0000  2 Cl 2.98
Cl: 0.7724 0.7292 0.0645  1 Na 2.53
H: 0.0000 0.0000 0.0000  2 Cl 1.59
Cl: 0.2276 0.2708 0.9355  1 Na 2.53
Cl: 0.3564 0.6528 0.5049  1 H 1.59
Cl: 0.6435 0.3471 0.4951  1 H 1.59
Tl: 0.0000 0.0000 0.5000  4 Cl 3.09
Tl: 0.5000 0.5000 0.0000  4 Cl 3.09
Tl: 0.5000 0.0000 0.5000  2 Cl 2.98
Cl: 0.1529 0.8564 0.0049  1 H 1.59
Cl: 0.7708 0.7276 0.4355  1 Na 2.53
Cl: 0.2292 0.2724 0.5645  1 Na 2.53
H: 0.5000 0.5000 0.5000  2 Cl 1.59
Cl: 0.8472 0.1436 0.9951  1 H 1.59
Na: 0.0000 0.5000 0.0000  2 Cl 2.53
Na: 0.0000 0.5000 0.5000  2 Cl 2.53

---

7.
The following is a DFT calculation (GGA-PBE) of an optimized crystal structure of Na2ZnH3Cl4.

Summary:
Total DFT energy (no corrections) = -2.46 eV/atom
M_tot = 3.000 Bohr magnetons per cell

Lattice parameters (Å, degrees): 7.0275 7.0275 6.1827 90.00 90.00 120.00
Closest atoms and distances in Å follow each position.
Element x y z (fractional)
Na: 0.6667 0.3333 0.7340  3 Cl 2.69, 3 H 2.75
H: 0.3305 0.3305 0.9633  1 Cl 2.36
Cl: 0.0000 0.0000 0.0289  1 Zn 2.29, 3 H 2.36
Zn: 0.0000 0.0000 0.6578  4 Cl 2.29-2.30
Cl: 0.6886 0.6886 0.5452  1 Zn 2.30
H: 0.6695 0.0000 0.9633  1 Cl 2.36
H: 0.0000 0.6695 0.9633  1 Cl 2.36
Cl: 0.3114 0.0000 0.5452  1 Zn 2.30
Cl: 0.0000 0.3114 0.5452  1 Zn 2.30
Na: 0.3333 0.6667 0.7340  3 Cl 2.69, 3 H 2.75

---

8.
The following is a DFT calculation (GGA-PBE) of an optimized crystal structure of NbH3Cl.

Summary:
Total DFT energy (no corrections) = -4.06 eV/atom
DOS at the Fermi energy = 4.1 states/eV per cell
ΔE to the lowest computed polymorph = 0 meV/atom
M_tot = 1.000 Bohr magnetons per cell

Lattice parameters (Å, degrees): 3.7788 3.7788 3.7788 90.00 90.00 90.00
Closest atoms and distances in Å follow each position.
Element x y z (fractional)
H: 0.0000 0.0000 0.5000  2 Nb 1.89
H: 0.0000 0.5000 0.0000  2 Nb 1.89
Cl: 0.5000 0.5000 0.5000  12 H 2.67
Nb: 0.0000 0.0000 0.0000  6 H 1.89
H: 0.5000 0.0000 0.0000  2 Nb 1.89